(1)
VASP calculation (PBE) on crystalline RhWBr4 at its relaxed geometry.

Results
Spin magnetization   3.3 μB per formula unit
Final energy   -2.635 eV per atom

a b c (Å): 6.024 6.024 6.024
angles (deg): 60.00 60.00 60.00
Atoms (fractional coordinates):
Rh 0.000 0.000 0.000
W 0.750 0.750 0.750
Br 0.375 0.375 0.375
Br 0.375 0.375 0.875
Br 0.375 0.875 0.375
Br 0.875 0.375 0.375

(2)
VASP calculation (PBE) on crystalline RhW2Br at its relaxed geometry.

Results
Excess energy over the best structure of this formula in the dataset   467 meV per atom
Spin magnetization   0.0 μB per formula unit

a b c (Å): 5.486 5.486 5.486
angles (deg): 148.08 131.33 59.39
Atoms (fractional coordinates):
Rh 0.000 0.000 0.000
W 0.267 0.767 0.500
W 0.733 0.233 0.500
Br 0.500 0.500 0.000

(3)
VASP calculation (PBE) on crystalline RhW2Br at its relaxed geometry.

Results
Excess energy over the best structure of this formula in the dataset   383 meV per atom
Spin magnetization   0.0 μB per formula unit

a b c (Å): 5.040 5.040 4.768
angles (deg): 92.47 92.47 33.30
Atoms (fractional coordinates):
Rh 0.000 0.000 0.000
W 0.453 0.453 0.463
W 0.728 0.728 0.203
Br 0.226 0.226 0.752

(4)
VASP calculation (PBE) on crystalline RhW2Br at its relaxed geometry.

Results
Excess energy over the best structure of this formula in the dataset   381 meV per atom
Spin magnetization   0.0 μB per formula unit

a b c (Å): 5.426 5.426 5.426
angles (deg): 148.75 128.95 61.09
Atoms (fractional coordinates):
Rh 0.000 0.000 0.000
W 0.251 0.751 0.500
W 0.527 0.527 0.000
Br 0.755 0.255 0.500

(5)
VASP calculation (PBE) on crystalline YRh2Br at its relaxed geometry.

Results
Excess energy over the best structure of this formula in the dataset   127 meV per atom
Spin magnetization   0.0 μB per formula unit

a b c (Å): 5.062 5.062 4.885
angles (deg): 111.37 111.37 44.58
Atoms (fractional coordinates):
Y 0.000 0.000 0.000
Rh 0.476 0.476 0.407
Rh 0.783 0.783 0.379
Br 0.193 0.193 0.640

(6)
VASP calculation (PBE) on crystalline YRh2Br at its relaxed geometry.

Results
Excess energy over the best structure of this formula in the dataset   177 meV per atom
Spin magnetization   0.0 μB per formula unit

a b c (Å): 3.433 4.442 4.817
angles (deg): 90.00 90.00 90.00
Atoms (fractional coordinates):
Y 0.000 0.000 0.000
Rh 0.000 0.500 0.500
Rh 0.500 0.500 0.000
Br 0.500 0.000 0.500

(7)
VASP calculation (PBE) on crystalline Y3RhBr3 at its relaxed geometry.

Results
Spin magnetization   0.0 μB per formula unit
Final energy   -5.889 eV per atom

a b c (Å): 8.557 4.094 11.868
angles (deg): 90.00 91.69 90.00
Atoms (fractional coordinates):
Y 0.101 0.250 0.330
Y 0.147 0.250 0.862
Y 0.271 0.750 0.103
Y 0.729 0.250 0.897
Y 0.853 0.750 0.138
Y 0.899 0.750 0.670
Rh 0.056 0.250 0.097
Rh 0.944 0.750 0.903
Br 0.133 0.250 0.599
Br 0.343 0.750 0.358
Br 0.431 0.750 0.869
Br 0.569 0.250 0.131
Br 0.657 0.250 0.642
Br 0.867 0.750 0.401

(8)
VASP calculation (PBE) on crystalline YRh2Br at its relaxed geometry.

Results
Excess energy over the best structure of this formula in the dataset   0 meV per atom
Spin magnetization   0.0 μB per formula unit

a b c (Å): 3.479 3.485 7.460
angles (deg): 90.00 102.90 90.00
Atoms (fractional coordinates):
Y 0.000 0.000 0.000
Rh 0.381 0.500 0.755
Rh 0.826 0.000 0.639
Br 0.619 0.500 0.248

(9)
VASP calculation (PBE) on crystalline YRhBr3 at its relaxed geometry.

Results
Excess energy over the best structure of this formula in the dataset   57 meV per atom
Spin magnetization   0.0 μB per formula unit

a b c (Å): 5.061 5.061 5.061
angles (deg): 90.00 90.00 90.00
Atoms (fractional coordinates):
Y 0.000 0.000 0.000
Rh 0.500 0.500 0.500
Br 0.000 0.500 0.500
Br 0.500 0.000 0.500
Br 0.500 0.500 0.000

(10)
VASP calculation (PBE) on crystalline YRh2Br at its relaxed geometry.

Results
Excess energy over the best structure of this formula in the dataset   488 meV per atom
Spin magnetization   0.0 μB per formula unit

a b c (Å): 8.277 8.277 8.277
angles (deg): 23.75 23.75 23.75
Atoms (fractional coordinates):
Y 0.000 0.000 0.000
Rh 0.250 0.250 0.250
Rh 0.750 0.750 0.750
Br 0.500 0.500 0.500